(1)
DFT (PBE) results for a relaxed Nd2Ni crystal.

The total energy comes out at -30.7 eV/cell. As for the space group: P4_2/mnm (136).

abc: 6.5569 6.5569 4.1779
angles: 90.00 90.00 90.00
Fractional positions:
Nd 0.3032 0.3032 0.0000
Nd 0.6968 0.6968 0.0000
Nd 0.8032 0.1968 0.5000
Nd 0.1968 0.8032 0.5000
Ni 0.0000 0.0000 0.0000
Ni 0.5000 0.5000 0.5000

(2)
DFT (PBE) results for a relaxed HoTa crystal.

The total energy comes out at -10.6 eV/cell. As for the space group: F-43m (216).

abc: 4.5524 4.5524 4.5524
angles: 60.00 60.00 60.00
Fractional positions:
Ho 0.0000 0.0000 0.0000
Ta 0.2500 0.2500 0.2500

We obtain E_form values of -84; 2896 meV per atom for the records listed above, in that order.